Density functional theory data (PBE-GGA) for a relaxed Cr2PdPt2 crystal.

Geometry as CIF:
```
data_Cr2PdPt2
_cell_length_a 7.409
_cell_length_b 7.409
_cell_length_c 2.677
_cell_angle_alpha 90.00
_cell_angle_beta 90.00
_cell_angle_gamma 90.00
_space_group_name_H-M_alt 'P 1'
_space_group_IT_number 1
loop_
_space_group_symop_operation_xyz
'x,y,z'
loop_
_atom_site_label
_atom_site_fract_x
_atom_site_fract_y
_atom_site_fract_z
Pt1 0.871 0.629 0.000
Pd1 0.500 0.500 0.000
Pd2 0.000 0.000 0.000
Cr1 0.668 0.832 0.500
Pt2 0.129 0.371 0.000
Pt3 0.371 0.871 0.000
Pt4 0.629 0.129 0.000
Cr2 0.168 0.668 0.500
Cr3 0.832 0.332 0.500
Cr4 0.332 0.168 0.500
```

Output
**E above lowest polymorph**: 0.122 eV/atom
**Mass density**: 13.58 g/cm3
**Energy of formation**: 0.0135 eV per atom
**Total moment**: 1.2 μB/f.u.
**V**: 147 Å³/cell


Density functional theory data (PBE-GGA) for a relaxed CrPdPt4 crystal.

Geometry as CIF:
```
data_CrPdPt4
_cell_length_a 2.784
_cell_length_b 3.892
_cell_length_c 8.381
_cell_angle_alpha 90.00
_cell_angle_beta 90.00
_cell_angle_gamma 90.00
_space_group_name_H-M_alt 'P 1'
_space_group_IT_number 1
loop_
_space_group_symop_operation_xyz
'x,y,z'
loop_
_atom_site_label
_atom_site_fract_x
_atom_site_fract_y
_atom_site_fract_z
Pt1 0.000 0.500 0.658
Pd1 0.000 0.500 0.000
Pt2 0.000 0.500 0.342
Pt3 0.500 0.000 0.828
Cr1 0.500 0.000 0.500
Pt4 0.500 0.000 0.172
```

Output
**E above lowest polymorph**: 0.000 eV/atom
**Mass density**: 17.16 g/cm3
**Energy of formation**: -0.1384 eV per atom
**Total moment**: 1.9 μB/f.u.
**V**: 91 Å³/cell


Density functional theory data (PBE-GGA) for a relaxed CrPd8Pt2 crystal.

Geometry as CIF:
```
data_CrPd8Pt2
_cell_length_a 4.976
_cell_length_b 8.351
_cell_length_c 8.351
_cell_angle_alpha 36.19
_cell_angle_beta 60.78
_cell_angle_gamma 60.78
_space_group_name_H-M_alt 'P 1'
_space_group_IT_number 1
loop_
_space_group_symop_operation_xyz
'x,y,z'
loop_
_atom_site_label
_atom_site_fract_x
_atom_site_fract_y
_atom_site_fract_z
Pt1 0.511 0.174 0.174
Pd1 0.766 0.168 0.668
Cr1 0.000 0.000 0.000
Pd2 0.234 0.332 0.832
Pd3 0.234 0.832 0.332
Pd4 0.766 0.668 0.168
Pd5 0.729 0.592 0.592
Pd6 0.864 0.253 0.253
Pd7 0.136 0.747 0.747
Pd8 0.271 0.408 0.408
Pt2 0.489 0.826 0.826
```

Output
**E above lowest polymorph**: 0.197 eV/atom
**Mass density**: 12.22 g/cm3
**Energy of formation**: 0.1414 eV per atom
**Total moment**: 1.9 μB/f.u.
**V**: 176 Å³/cell


Density functional theory data (PBE-GGA) for a relaxed CrPd6Pt3 crystal.

Geometry as CIF:
```
data_CrPd6Pt3
_cell_length_a 3.947
_cell_length_b 7.919
_cell_length_c 11.407
_cell_angle_alpha 121.35
_cell_angle_beta 90.00
_cell_angle_gamma 90.00
_space_group_name_H-M_alt 'P 1'
_space_group_IT_number 1
loop_
_space_group_symop_operation_xyz
'x,y,z'
loop_
_atom_site_label
_atom_site_fract_x
_atom_site_fract_y
_atom_site_fract_z
Pd1 0.250 0.478 0.813
Pd2 0.250 0.676 0.398
Cr1 0.750 0.638 0.999
Pt1 0.750 0.017 0.197
Cr2 0.250 0.362 0.001
Pt2 0.750 0.922 0.397
Pt3 0.250 0.983 0.803
Pd3 0.750 0.242 0.814
Pd4 0.750 0.425 0.398
Pd5 0.250 0.758 0.186
Pt4 0.250 0.078 0.603
Pt5 0.750 0.722 0.802
Pd6 0.250 0.170 0.397
Pd7 0.250 0.575 0.602
Pd8 0.750 0.127 0.001
Pd9 0.250 0.873 0.999
Pd10 0.750 0.522 0.187
Pt6 0.250 0.278 0.198
Pd11 0.750 0.324 0.602
Pd12 0.750 0.830 0.603
```

Output
**Mass density**: 13.92 g/cm3
**Energy of formation**: -0.0684 eV per atom
**Total moment**: 2.2 μB/f.u.
**V**: 304 Å³/cell